Density functional theory data (GGA+U) for a geometry-optimized LiCrN2F structure.

Computed properties:
- spin magnetization (μB per cell) = 1.7
- E_tot (hartree per atom) = -0.1827
- density of states at the Fermi level (states/eV per cell) = 2.49
- energy above the lowest structure with this stoichiometry (eV/atom) = 0.742

Lattice parameters (Å, degrees): 3.7159 3.7159 3.5119 90.00 90.00 90.00
Last column: nearest neighbours and their distance in Å.
Space group P4/mmm (No. 123)
Symmetry-distinct sites (fractional):
Li 0.0000 0.0000 0.0000 [1 per cell]  2 F 1.76, 4 N 1.86
Cr 0.5000 0.5000 0.5000 [1 per cell]  8 N 2.56, 4 F 2.63
N 0.0000 0.5000 0.0000 [2 per cell]  2 Li 1.86
F 0.0000 0.0000 0.5000 [1 per cell]  2 Li 1.76